Record 1
First-principles (GGA-PBE) data for a relaxed structure of HfCoOs, as listed in OQMD via LeMat-Bulk.

Cell: 5.992 5.992 5.992 Å, 90.00 90.00 90.00°
Space group F-43m (No. 216)
Inequivalent atoms, fractional coordinates:
1 Hf 0.000 0.000 0.000 (multiplicity 4)
2 Co 0.250 0.250 0.750 (multiplicity 4)
3 Os 0.250 0.250 0.250 (multiplicity 4)

Values from the calculation:
For the energy above the most stable polymorph in this dataset, the calculation gives 0.543 eV per atom. For the calculated formation energy, the calculation gives 0.685 eV/atom. Its energy is -8.74 eV per atom.


Record 2
First-principles (GGA-PBE) data for a relaxed structure of LiTbNiSn, as listed in OQMD via LeMat-Bulk.

Cell: 6.527 6.527 6.527 Å, 90.00 90.00 90.00°
Space group F-43m (No. 216)
Inequivalent atoms, fractional coordinates:
1 Li 0.000 0.000 0.000 (multiplicity 4)
2 Tb 0.250 0.250 0.750 (multiplicity 4)
3 Ni 0.000 0.000 0.500 (multiplicity 4)
4 Sn 0.250 0.250 0.250 (multiplicity 4)

Values from the calculation:
Its energy is -4.62 eV per atom.


Record 3
First-principles (GGA-PBE) data for a relaxed structure of CsTmGeS3, as listed in OQMD via LeMat-Bulk.

Cell: 16.123 3.915 11.292 Å, 90.00 90.00 90.00°
Space group Pnma (No. 62)
Inequivalent atoms, fractional coordinates:
1 Cs 0.230 0.250 0.077 (multiplicity 4)
2 Tm 0.009 0.750 0.646 (multiplicity 4)
3 Ge 0.034 0.250 0.912 (multiplicity 4)
4 S 0.072 0.750 0.228 (multiplicity 4)
5 S 0.094 0.250 0.538 (multiplicity 4)
6 S 0.117 0.750 0.833 (multiplicity 4)

Values from the calculation:
For the energy above the most stable polymorph in this dataset, the calculation gives 0.000 eV per atom. Its energy is -5.08 eV per atom.


Record 4
First-principles (GGA-PBE) data for a relaxed structure of Li2TlAg2SnAu2, as listed in OQMD via LeMat-Bulk.

Cell: 4.736 4.736 6.713 Å, 90.00 90.00 90.00°
Space group P-4m2 (No. 115)
Inequivalent atoms, fractional coordinates:
1 Li 0.000 0.000 0.000 (multiplicity 1)
2 Li 0.500 0.500 0.500 (multiplicity 1)
3 Tl 0.000 0.000 0.500 (multiplicity 1)
4 Ag 0.000 0.500 0.756 (multiplicity 2)
5 Sn 0.500 0.500 0.000 (multiplicity 1)
6 Au 0.000 0.500 0.239 (multiplicity 2)

Values from the calculation:
Its energy is -3.05 eV per atom.


Record 5
First-principles (GGA-PBE) data for a relaxed structure of PrIrNO, as listed in OQMD via LeMat-Bulk.

Cell: 4.016 4.016 7.657 Å, 90.00 90.00 90.00°
Space group P4/nmm (No. 129, origin choice 2)
Inequivalent atoms, fractional coordinates:
1 Pr 0.250 0.250 0.158 (multiplicity 2)
2 Ir 0.250 0.750 0.500 (multiplicity 2)
3 N 0.250 0.250 0.591 (multiplicity 2)
4 O 0.250 0.750 0.000 (multiplicity 2)

Values from the calculation:
For the energy above the most stable polymorph in this dataset, the calculation gives 0.232 eV per atom. Its energy is -7.83 eV per atom.


Record 6
First-principles (GGA-PBE) data for a relaxed structure of Co3Au, as listed in OQMD via LeMat-Bulk.

Cell: 3.661 3.661 7.487 Å, 90.00 90.00 90.00°
Space group I4/mmm (No. 139)
Inequivalent atoms, fractional coordinates:
1 Co 0.000 0.000 0.000 (multiplicity 2)
2 Co 0.000 0.500 0.250 (multiplicity 4)
3 Au 0.000 0.000 0.500 (multiplicity 2)

Values from the calculation:
For the calculated formation energy, the calculation gives 0.425 eV/atom. Its energy is -5.72 eV per atom.


Record 7
First-principles (GGA-PBE) data for a relaxed structure of DyErPd2, as listed in OQMD via LeMat-Bulk.

Cell: 5.565 4.552 6.880 Å, 90.00 90.45 90.00°
Space group P2_1/m (No. 11)
Inequivalent atoms, fractional coordinates:
1 Dy 0.144 0.250 0.183 (multiplicity 2)
2 Er 0.358 0.250 0.682 (multiplicity 2)
3 Pd 0.157 0.750 0.461 (multiplicity 2)
4 Pd 0.345 0.750 0.956 (multiplicity 2)

Values from the calculation:
For the energy above the most stable polymorph in this dataset, the calculation gives 0.000 eV per atom. For the calculated formation energy, the calculation gives -0.943 eV/atom. Its energy is -5.82 eV per atom.


Record 8
First-principles (GGA-PBE) data for a relaxed structure of HoTm2Lu4Ni2Te2, as listed in OQMD via LeMat-Bulk.

Cell: 3.812 15.309 9.432 Å, 90.00 90.00 90.00°
Space group Imm2 (No. 44)
Inequivalent atoms, fractional coordinates:
1 Ho 0.000 0.000 0.000 (multiplicity 2)
2 Tm 0.000 0.135 0.581 (multiplicity 4)
3 Lu 0.000 0.314 0.376 (multiplicity 4)
4 Lu 0.000 0.353 0.728 (multiplicity 4)
5 Ni 0.000 0.236 0.069 (multiplicity 4)
6 Te 0.000 0.000 0.338 (multiplicity 2)
7 Te 0.000 0.500 0.233 (multiplicity 2)

Values from the calculation:
Its energy is -5.14 eV per atom.


Record 9
First-principles (GGA-PBE) data for a relaxed structure of NdHo2Cd3Ag3, as listed in OQMD via LeMat-Bulk.

Cell: 3.934 13.712 7.867 Å, 90.00 90.00 90.00°
Space group Amm2 (No. 38)
Inequivalent atoms, fractional coordinates:
1 Nd 0.000 0.000 0.000 (multiplicity 2)
2 Ho 0.000 0.202 0.393 (multiplicity 4)
3 Cd 0.500 0.000 0.335 (multiplicity 2)
4 Cd 0.500 0.132 0.725 (multiplicity 4)
5 Ag 0.000 0.000 0.593 (multiplicity 2)
6 Ag 0.500 0.170 0.097 (multiplicity 4)

Values from the calculation:
For the calculated formation energy, the calculation gives -0.331 eV/atom. Its energy is -3.12 eV per atom.


Record 10
First-principles (GGA-PBE) data for a relaxed structure of KRbEr2Sb2, as listed in OQMD via LeMat-Bulk.

Cell: 5.145 5.145 8.659 Å, 90.00 90.00 90.00°
Space group P4mm (No. 99)
Inequivalent atoms, fractional coordinates:
1 K 0.000 0.000 0.000 (multiplicity 1)
2 Rb 0.500 0.500 0.730 (multiplicity 1)
3 Er 0.000 0.500 0.360 (multiplicity 2)
4 Sb 0.000 0.000 0.556 (multiplicity 1)
5 Sb 0.500 0.500 0.166 (multiplicity 1)

Values from the calculation:
Its energy is -3.84 eV per atom.


Record 11
First-principles (GGA-PBE) data for a relaxed structure of CsLuNb, as listed in OQMD via LeMat-Bulk.

Cell: 7.183 7.183 7.183 Å, 90.00 90.00 90.00°
Space group F-43m (No. 216)
Inequivalent atoms, fractional coordinates:
1 Cs 0.000 0.000 0.000 (multiplicity 4)
2 Lu 0.250 0.250 0.750 (multiplicity 4)
3 Nb 0.250 0.250 0.250 (multiplicity 4)

Values from the calculation:
For the energy above the most stable polymorph in this dataset, the calculation gives 0.464 eV per atom. Its energy is -3.00 eV per atom.


Record 12
First-principles (GGA-PBE) data for a relaxed structure of SmYIr, as listed in OQMD via LeMat-Bulk.

Cell: 7.287 4.678 8.816 Å, 90.00 90.00 90.00°
Space group Pnma (No. 62)
Inequivalent atoms, fractional coordinates:
1 Sm 0.011 0.250 0.165 (multiplicity 4)
2 Y 0.141 0.250 0.580 (multiplicity 4)
3 Ir 0.246 0.250 0.909 (multiplicity 4)

Values from the calculation:
For the energy above the most stable polymorph in this dataset, the calculation gives 0.000 eV per atom. For the calculated formation energy, the calculation gives -0.666 eV/atom. Its energy is -7.34 eV per atom.


Record 13
First-principles (GGA-PBE) data for a relaxed structure of U2Si4Ir3, as listed in OQMD via LeMat-Bulk.

Cell: 5.740 13.876 7.274 Å, 90.00 90.00 90.00°
Space group Cmce (No. 64)
Inequivalent atoms, fractional coordinates:
1 U 0.000 0.084 0.083 (multiplicity 8)
2 Si 0.000 0.180 0.481 (multiplicity 8)
3 Si 0.250 0.068 0.750 (multiplicity 8)
4 Ir 0.000 0.000 0.500 (multiplicity 4)
5 Ir 0.250 0.241 0.750 (multiplicity 8)

Values from the calculation:
Its energy is -8.59 eV per atom.


Record 14
First-principles (GGA-PBE) data for a relaxed structure of Ta3Nb3Sn2, as listed in OQMD via LeMat-Bulk.

Cell: 7.5224 7.5224 9.2127 Å, 90.00 90.00 120.00°
Space group R32 (No. 155, hexagonal axes)
Inequivalent atoms, fractional coordinates:
1 Ta 0.0000 0.7503 0.0000 (multiplicity 9)
2 Nb 0.0000 0.2502 0.5000 (multiplicity 9)
3 Sn 0.0000 0.0000 0.2503 (multiplicity 6)

Values from the calculation:
For the energy above the most stable polymorph in this dataset, the calculation gives 0.003 eV per atom. Its energy is -9.34 eV per atom.


Record 15
First-principles (GGA-PBE) data for a relaxed structure of KZrP2Se6O, as listed in OQMD via LeMat-Bulk.

Cell: 8.665 11.048 6.625 Å, 90.00 100.35 90.00°
Space group C2 (No. 5)
Inequivalent atoms, fractional coordinates:
1 K 0.000 0.000 0.000 (multiplicity 2)
2 Zr 0.000 0.427 0.500 (multiplicity 2)
3 P 0.175 0.769 0.576 (multiplicity 4)
4 Se 0.136 0.601 0.756 (multiplicity 4)
5 Se 0.180 0.398 0.209 (multiplicity 4)
6 Se 0.215 0.266 0.703 (multiplicity 4)
7 O 0.000 0.832 0.500 (multiplicity 2)

Values from the calculation:
Its energy is -5.00 eV per atom.


Record 16
First-principles (GGA-PBE) data for a relaxed structure of LaAlPd, as listed in OQMD via LeMat-Bulk.

Cell: 6.891 6.891 6.891 Å, 90.00 90.00 90.00°
Space group F-43m (No. 216)
Inequivalent atoms, fractional coordinates:
1 La 0.000 0.000 0.000 (multiplicity 4)
2 Al 0.250 0.250 0.750 (multiplicity 4)
3 Pd 0.250 0.250 0.250 (multiplicity 4)

Values from the calculation:
Its energy is -4.51 eV per atom.


Record 17
First-principles (GGA-PBE) data for a relaxed structure of K2As2Pd3, as listed in OQMD via LeMat-Bulk.

Cell: 4.7894 4.7894 25.5378 Å, 90.00 90.00 120.00°
Space group R3m (No. 160, hexagonal axes)
Inequivalent atoms, fractional coordinates:
1 K 0.0000 0.0000 0.0000 (multiplicity 3)
2 K 0.0000 0.0000 0.4664 (multiplicity 3)
3 As 0.0000 0.0000 0.2367 (multiplicity 3)
4 As 0.0000 0.0000 0.6979 (multiplicity 3)
5 Pd 0.0000 0.0000 0.3327 (multiplicity 3)
6 Pd 0.0000 0.0000 0.5992 (multiplicity 3)
7 Pd 0.0000 0.0000 0.8858 (multiplicity 3)

Values from the calculation:
For the energy above the most stable polymorph in this dataset, the calculation gives 0.415 eV per atom. Its energy is -3.90 eV per atom.


Record 18
First-principles (GGA-PBE) data for a relaxed structure of Dy3Er3Te2Pt, as listed in OQMD via LeMat-Bulk.

Cell: 8.3905 8.3905 3.9326 Å, 90.00 90.00 120.00°
Space group P-62m (No. 189)
Inequivalent atoms, fractional coordinates:
1 Dy 0.0000 0.2463 0.0000 (multiplicity 3)
2 Er 0.0000 0.6009 0.5000 (multiplicity 3)
3 Te 0.3333 0.6667 0.0000 (multiplicity 2)
4 Pt 0.0000 0.0000 0.5000 (multiplicity 1)

Values from the calculation:
For the energy above the most stable polymorph in this dataset, the calculation gives 0.032 eV per atom. Its energy is -5.31 eV per atom.


Record 19
First-principles (GGA-PBE) data for a relaxed structure of HfGeSe, as listed in OQMD via LeMat-Bulk.

Cell: 3.719 3.719 8.237 Å, 90.00 90.00 90.00°
Space group P4/nmm (No. 129, origin choice 2)
Inequivalent atoms, fractional coordinates:
1 Hf 0.250 0.250 0.238 (multiplicity 2)
2 Ge 0.250 0.750 0.500 (multiplicity 2)
3 Se 0.250 0.250 0.880 (multiplicity 2)

Values from the calculation:
Its energy is -6.96 eV per atom.


Record 20
First-principles (GGA-PBE) data for a relaxed structure of TbAsPtO, as listed in OQMD via LeMat-Bulk.

Cell: 3.557 7.809 5.535 Å, 90.00 90.00 90.00°
Space group Pmc2_1 (No. 26)
Inequivalent atoms, fractional coordinates:
1 Tb 0.000 0.196 0.000 (multiplicity 2)
2 As 0.000 0.423 0.490 (multiplicity 2)
3 Pt 0.500 0.217 0.529 (multiplicity 2)
4 O 0.500 0.060 0.088 (multiplicity 2)

Values from the calculation:
For the energy above the most stable polymorph in this dataset, the calculation gives 0.438 eV per atom. Its energy is -6.43 eV per atom.


Record 21
First-principles (GGA-PBE) data for a relaxed structure of IrPbAuSe3, as listed in OQMD via LeMat-Bulk.

Cell: 3.883 14.983 10.110 Å, 90.00 90.00 90.00°
Space group Cmcm (No. 63)
Inequivalent atoms, fractional coordinates:
1 Ir 0.000 0.000 0.000 (multiplicity 4)
2 Pb 0.000 0.305 0.250 (multiplicity 4)
3 Au 0.000 0.352 0.750 (multiplicity 4)
4 Se 0.000 0.048 0.750 (multiplicity 4)
5 Se 0.000 0.393 0.515 (multiplicity 8)

Values from the calculation:
Its energy is -4.59 eV per atom.


Record 22
First-principles (GGA-PBE) data for a relaxed structure of YHo4Ag5, as listed in OQMD via LeMat-Bulk.

Cell: 3.607 3.607 18.088 Å, 90.00 90.00 90.00°
Space group P4/mmm (No. 123)
Inequivalent atoms, fractional coordinates:
1 Y 0.000 0.000 0.000 (multiplicity 1)
2 Ho 0.000 0.000 0.201 (multiplicity 2)
3 Ho 0.000 0.000 0.400 (multiplicity 2)
4 Ag 0.500 0.500 0.102 (multiplicity 2)
5 Ag 0.500 0.500 0.301 (multiplicity 2)
6 Ag 0.500 0.500 0.500 (multiplicity 1)

Values from the calculation:
For the calculated formation energy, the calculation gives -0.341 eV/atom. Its energy is -4.23 eV per atom.


Record 23
First-principles (GGA-PBE) data for a relaxed structure of ZnCd3Se4, as listed in OQMD via LeMat-Bulk.

Cell: 6.079 6.079 6.079 Å, 90.00 90.00 90.00°
Space group P-43m (No. 215)
Inequivalent atoms, fractional coordinates:
1 Zn 0.000 0.000 0.000 (multiplicity 1)
2 Cd 0.000 0.500 0.500 (multiplicity 3)
3 Se 0.238 0.238 0.238 (multiplicity 4)

Values from the calculation:
Its energy is -2.89 eV per atom.


Record 24
First-principles (GGA-PBE) data for a relaxed structure of Cu4Ag, as listed in OQMD via LeMat-Bulk.

Cell: 13.897 2.689 7.230 Å, 90.00 104.66 90.00°
Space group C2/m (No. 12)
Inequivalent atoms, fractional coordinates:
1 Cu 0.000 0.000 0.226 (multiplicity 4)
2 Cu 0.102 0.500 0.050 (multiplicity 4)
3 Cu 0.201 0.000 0.334 (multiplicity 4)
4 Cu 0.201 0.000 0.862 (multiplicity 4)
5 Ag 0.102 0.500 0.549 (multiplicity 4)

Values from the calculation:
For the energy above the most stable polymorph in this dataset, the calculation gives 0.021 eV per atom. For the calculated formation energy, the calculation gives 0.065 eV/atom. Its energy is -3.47 eV per atom.